Record 1
## Zr4ZnHg (GGA-PBE)

Data for Zr4ZnHg after structural relaxation.

Results
E = -5.707 eV/atom
energy of formation from the pure elements = 1.529 eV per formula unit
total moment = 0.00 Bohr magnetons per cell
mass density = 7.27 g/cm3

The structure in POSCAR format:
```
Zr4ZnHg
1.0
4.6225 0.0000 -0.0017
-0.0002 4.6227 -0.0023
0.0028 0.0046 6.7394
Zr Zn Hg
4 1 1
direct
0.5013 0.9972 0.2642
0.5013 0.9974 0.7321
0.0013 0.4973 0.7321
0.0013 0.4973 0.2642
0.0013 0.9973 0.4981
0.5013 0.4972 0.9981
```


Record 2
## Sc2ReSi (GGA-PBE)

Data for Sc2ReSi after structural relaxation.

Results
E = -7.934 eV/atom
E_form (uncorrected) = -0.300 eV/atom
total moment = 0.00 Bohr magnetons per cell
mass density = 7.13 g/cm3

The structure in POSCAR format:
```
Sc2ReSi
1.0
5.4333 0.0282 0.0792
4.3918 3.1990 0.0792
1.8086 0.5941 4.1337
Re Sc Si
1 2 1
direct
0.7696 0.7696 0.7297
0.0199 0.0199 0.9804
0.2438 0.2438 0.2560
0.4667 0.4667 0.5339
```


Record 3
## CuGe2W (GGA-PBE)

Data for CuGe2W after structural relaxation.

Results
E = -6.294 eV/atom
energy of formation from the pure elements = 1.110 eV per formula unit
total moment = 0.00 Bohr magnetons per cell
mass density = 9.63 g/cm3

The structure in POSCAR format:
```
CuGe2W
1.0
2.9825 0.0000 0.0000
1.4912 2.5829 0.0000
1.4912 0.8610 8.7916
Ge Cu W
2 1 1
direct
0.0891 0.0891 0.7326
0.9109 0.9109 0.2674
0.0000 0.0000 0.0000
0.5000 0.5000 0.5000
```


Record 4
## Ge2WAu (GGA-PBE)

Data for Ge2WAu after structural relaxation.

Results
E = -5.535 eV/atom
energy of formation from the pure elements = 3.325 eV per formula unit
total moment = 0.00 Bohr magnetons per cell
mass density = 9.16 g/cm3

The structure in POSCAR format:
```
Ge2WAu
1.0
-0.6818 6.0198 -0.4839
-3.4219 0.0162 5.0226
2.1747 3.7279 5.1467
Ge Au W
4 2 2
direct
0.6127 0.1250 0.2500
0.1373 0.6250 0.2500
0.3750 0.3873 0.7500
0.8750 0.8627 0.7500
0.0000 0.0000 0.0000
0.7500 0.2500 0.5000
0.5000 0.5000 0.0000
0.2500 0.7500 0.5000
```